# 1
A plane-wave DFT calculation with PBEsol was carried out for KCrSb4 after structural relaxation.

Cell lengths 8.8459, 8.8459, 8.8459 Å; angles 90.00, 90.00, 90.00 degrees
Space group F-43m (No. 216)
Unique sites:
1 K 0.0000 0.0000 0.0000
2 Cr 0.2500 0.2500 0.7500
3 Sb 0.1242 0.1242 0.3758

Results
Raw formation energy in eV/atom: 0.35
Volume in Å³/atom: 28.84

# 2
A plane-wave DFT calculation with PBEsol was carried out for Ba2YTlCo2O7 after structural relaxation.

Cell lengths 25.2791, 5.3708, 5.3697 Å; angles 90.00, 90.00, 90.00 degrees
Space group Ima2 (No. 46)
Unique sites:
1 Ba 0.1456 0.0006 0.0000
2 Y 0.0000 0.0000 0.9980
3 Tl 0.2500 0.5292 0.9707
4 Co 0.0522 0.0000 0.4983
5 O 0.0561 0.2496 0.2479
6 O 0.0563 0.7501 0.2482
7 O 0.1672 0.0085 0.5060
8 O 0.2500 0.5434 0.5399

Results
Raw formation energy in eV/atom: -1.91
Volume in Å³/atom: 14.02

# 3
A plane-wave DFT calculation with PBEsol was carried out for Mg2GeRu2 after structural relaxation.

Cell lengths 6.2190, 6.2190, 4.2581 Å; angles 90.00, 90.00, 90.00 degrees
Space group P4/mbm (No. 127)
Unique sites:
1 Mg 0.1654 0.3346 0.0000
2 Ge 0.0000 0.0000 0.5000
3 Ru 0.1405 0.6405 0.5000

Results
ΔH_f (0 K) in kcal/mol of atoms: -4.36
Volume in Å³/atom: 16.47

# 4
A plane-wave DFT calculation with PBEsol was carried out for InCu3 after structural relaxation.

Cell lengths 5.4139, 9.3269, 4.2974 Å; angles 90.00, 90.00, 90.00 degrees
Space group Cmcm (No. 63)
Unique sites:
1 In 0.0000 0.1659 0.2500
2 Cu 0.0000 0.3430 0.7500
3 Cu 0.2349 0.4210 0.2500

Results
ΔH_f (0 K) in kcal/mol of atoms: -0.14
Volume in Å³/atom: 13.56